Entry 1:
Compound: Nd8SmHg2
Source: Alexandria
Functional: PBE-GGA
Structure: optimized geometry

## Properties
Total DFT energy (no corrections) = -4.02 eV per atom
ΔH_f (0 K) = -0.06 eV/atom
Magnetization = 0.000 μB per atom
Calculated volume = 742 Å³/cell

Cell: 8.9864 15.3163 5.7856 Å, 90.00 111.22 90.00°
Space group C2/m (No. 12)
Symmetry-distinct sites (fractional):
Nd 0.0000 0.2255 0.0000 [4 per cell]
Nd 0.0992 0.5000 0.7997 [4 per cell]
Nd 0.2038 0.1131 0.6044 [8 per cell]
Sm 0.0000 0.0000 0.0000 [2 per cell]
Hg 0.0000 0.3060 0.5000 [4 per cell]


Entry 2:
Compound: Nd2Sm3Hg2
Source: Alexandria
Functional: PBE-GGA
Structure: optimized geometry

## Properties
ΔE to the lowest computed polymorph = 0.037 eV per atom
Total DFT energy (no corrections) = -3.67 eV per atom
ΔH_f (0 K) = -0.20 eV/atom
Magnetization = 0.121 μB per atom
Calculated volume = 436 Å³/cell

Cell: 3.6914 32.2915 3.6538 Å, 90.00 90.00 90.00°
Space group Cmmm (No. 65)
Symmetry-distinct sites (fractional):
Nd 0.0000 0.2021 0.0000 [4 per cell]
Sm 0.0000 0.0779 0.0000 [4 per cell]
Sm 0.0000 0.5000 0.5000 [2 per cell]
Hg 0.0000 0.3614 0.5000 [4 per cell]


Entry 3:
Compound: NdSm5Hg6
Source: Alexandria
Functional: PBE-GGA
Structure: optimized geometry

## Properties
Total DFT energy (no corrections) = -2.99 eV per atom
ΔH_f (0 K) = -0.47 eV/atom
Magnetization = 0.211 μB per atom
Calculated volume = 330 Å³/cell

Cell: 5.3589 7.6500 8.4651 Å, 90.00 108.21 90.00°
Space group P2/m (No. 10)
Symmetry-distinct sites (fractional):
Nd 0.0000 0.0000 0.0000 [1 per cell]
Sm 0.0000 0.5000 0.0000 [1 per cell]
Sm 0.3327 0.0000 0.6667 [2 per cell]
Sm 0.3334 0.5000 0.6680 [2 per cell]
Hg 0.1690 0.2516 0.3363 [4 per cell]
Hg 0.5000 0.2531 0.0000 [2 per cell]


Entry 4:
Compound: Nd5SmHg6
Source: Alexandria
Functional: PBE-GGA
Structure: optimized geometry

## Properties
Total DFT energy (no corrections) = -3.00 eV per atom
ΔH_f (0 K) = -0.47 eV/atom
Magnetization = 0.228 μB per atom
Calculated volume = 337 Å³/cell

Cell: 5.4060 7.6939 8.5392 Å, 90.00 108.21 90.00°
Space group P2/m (No. 10)
Symmetry-distinct sites (fractional):
Nd 0.0000 0.0000 0.0000 [1 per cell]
Nd 0.3321 0.0000 0.6652 [2 per cell]
Nd 0.3327 0.5000 0.6666 [2 per cell]
Sm 0.0000 0.5000 0.0000 [1 per cell]
Hg 0.1660 0.2516 0.3304 [4 per cell]
Hg 0.5000 0.2528 0.0000 [2 per cell]


Entry 5:
Compound: Nd2Sm3Hg2
Source: Alexandria
Functional: PBE-GGA
Structure: optimized geometry

## Properties
ΔE to the lowest computed polymorph = 0.000 eV per atom
Total DFT energy (no corrections) = -3.71 eV per atom
ΔH_f (0 K) = -0.24 eV/atom
Magnetization = 0.000 μB per atom
Calculated volume = 445 Å³/cell

Cell: 13.4440 3.8367 9.5301 Å, 90.00 115.25 90.00°
Space group C2/m (No. 12)
Symmetry-distinct sites (fractional):
Nd 0.1444 0.0000 0.3102 [4 per cell]
Sm 0.0000 0.5000 0.5000 [2 per cell]
Sm 0.1098 0.5000 0.9453 [4 per cell]
Hg 0.1743 0.0000 0.7271 [4 per cell]


Entry 6:
Compound: Nd2SmHg3
Source: Alexandria
Functional: PBE-GGA
Structure: optimized geometry

## Properties
Total DFT energy (no corrections) = -3.00 eV per atom
ΔH_f (0 K) = -0.47 eV/atom
Magnetization = 0.206 μB per atom
Calculated volume = 168 Å³/cell

Cell: 3.8257 3.8257 11.4664 Å, 90.00 90.00 90.00°
Space group P4/mmm (No. 123)
Symmetry-distinct sites (fractional):
Nd 0.0000 0.0000 0.1681 [2 per cell]
Sm 0.0000 0.0000 0.5000 [1 per cell]
Hg 0.5000 0.5000 0.0000 [1 per cell]
Hg 0.5000 0.5000 0.3381 [2 per cell]


Entry 7:
Compound: NdSm6Hg3
Source: Alexandria
Functional: PBE-GGA
Structure: optimized geometry

## Properties
Total DFT energy (no corrections) = -3.62 eV per atom
ΔH_f (0 K) = -0.23 eV/atom
Magnetization = 0.000 μB per atom
Calculated volume = 606 Å³/cell

Cell: 9.9280 5.3998 11.7161 Å, 90.00 105.36 90.00°
Space group P2_1/m (No. 11)
Symmetry-distinct sites (fractional):
Nd 0.0070 0.2500 0.2513 [2 per cell]
Sm 0.0740 0.2500 0.5761 [2 per cell]
Sm 0.1077 0.7500 0.0655 [2 per cell]
Sm 0.2467 0.2500 0.8923 [2 per cell]
Sm 0.3029 0.7500 0.6506 [2 per cell]
Sm 0.3839 0.2500 0.4562 [2 per cell]
Sm 0.4571 0.7500 0.2289 [2 per cell]
Hg 0.2200 0.7500 0.3688 [2 per cell]
Hg 0.2857 0.2500 0.1677 [2 per cell]
Hg 0.4175 0.7500 0.9344 [2 per cell]


Entry 8:
Compound: NdSm4Hg5
Source: Alexandria
Functional: PBE-GGA
Structure: optimized geometry

## Properties
Total DFT energy (no corrections) = -2.99 eV per atom
ΔH_f (0 K) = -0.47 eV/atom
Magnetization = 0.207 μB per atom
Calculated volume = 275 Å³/cell

Cell: 3.8144 3.8144 18.9048 Å, 90.00 90.00 90.00°
Space group P4/mmm (No. 123)
Symmetry-distinct sites (fractional):
Nd 0.0000 0.0000 0.0000 [1 per cell]
Sm 0.0000 0.0000 0.2016 [2 per cell]
Sm 0.0000 0.0000 0.4007 [2 per cell]
Hg 0.5000 0.5000 0.1035 [2 per cell]
Hg 0.5000 0.5000 0.3010 [2 per cell]
Hg 0.5000 0.5000 0.5000 [1 per cell]


Entry 9:
Compound: NdSm3Hg3
Source: Alexandria
Functional: PBE-GGA
Structure: optimized geometry

## Properties
ΔE to the lowest computed polymorph = 0.004 eV per atom
Total DFT energy (no corrections) = -3.14 eV per atom
ΔH_f (0 K) = -0.31 eV/atom
Magnetization = 0.000 μB per atom
Calculated volume = 408 Å³/cell

Cell: 9.5185 9.5185 5.2035 Å, 90.00 90.00 120.00°
Space group P6_3/m (No. 176)
Symmetry-distinct sites (fractional):
Nd 0.3333 0.6667 0.2500 [2 per cell]
Sm 0.0067 0.7603 0.7500 [6 per cell]
Hg 0.0593 0.4465 0.7500 [6 per cell]


Entry 10:
Compound: Nd2SmSn2Hg2
Source: Alexandria
Functional: PBE-GGA
Structure: optimized geometry

## Properties
Total DFT energy (no corrections) = -3.62 eV per atom
ΔH_f (0 K) = -0.36 eV/atom
Magnetization = 0.000 μB per atom
Calculated volume = 604 Å³/cell

Cell: 5.0054 5.0054 27.8181 Å, 90.00 90.00 120.00°
Space group R-3m (No. 166, hexagonal axes)
Symmetry-distinct sites (fractional):
Nd 0.0000 0.0000 0.1303 [6 per cell]
Sm 0.0000 0.0000 0.0000 [3 per cell]
Sn 0.0000 0.0000 0.2726 [6 per cell]
Hg 0.0000 0.0000 0.4263 [6 per cell]


Entry 11:
Compound: NdSmTcHg
Source: Alexandria
Functional: PBE-GGA
Structure: optimized geometry

## Properties
Total DFT energy (no corrections) = -5.09 eV per atom
ΔH_f (0 K) = -0.06 eV/atom
Magnetization = 0.000 μB per atom
Calculated volume = 391 Å³/cell

Cell: 7.3101 7.3101 7.3101 Å, 90.00 90.00 90.00°
Space group F-43m (No. 216)
Symmetry-distinct sites (fractional):
Nd 0.0000 0.0000 0.0000 [4 per cell]
Sm 0.0000 0.0000 0.5000 [4 per cell]
Tc 0.2500 0.2500 0.7500 [4 per cell]
Hg 0.2500 0.2500 0.2500 [4 per cell]


Entry 12:
Compound: Nd2SmTl2Hg2
Source: Alexandria
Functional: PBE-GGA
Structure: optimized geometry

## Properties
Total DFT energy (no corrections) = -3.02 eV per atom
ΔH_f (0 K) = -0.22 eV/atom
Magnetization = 0.000 μB per atom
Calculated volume = 601 Å³/cell

Cell: 5.0378 5.0378 27.3355 Å, 90.00 90.00 120.00°
Space group R-3m (No. 166, hexagonal axes)
Symmetry-distinct sites (fractional):
Nd 0.0000 0.0000 0.1337 [6 per cell]
Sm 0.0000 0.0000 0.0000 [3 per cell]
Tl 0.0000 0.0000 0.2749 [6 per cell]
Hg 0.0000 0.0000 0.4300 [6 per cell]


Entry 13:
Compound: NdSmTmHg
Source: Alexandria
Functional: PBE-GGA
Structure: optimized geometry

## Properties
ΔE to the lowest computed polymorph = 0.151 eV per atom
Total DFT energy (no corrections) = -3.64 eV per atom
ΔH_f (0 K) = -0.08 eV/atom
Magnetization = 0.000 μB per atom
Calculated volume = 467 Å³/cell

Cell: 7.7591 7.7591 7.7591 Å, 90.00 90.00 90.00°
Space group F-43m (No. 216)
Symmetry-distinct sites (fractional):
Nd 0.0000 0.0000 0.0000 [4 per cell]
Sm 0.0000 0.0000 0.5000 [4 per cell]
Tm 0.2500 0.2500 0.7500 [4 per cell]
Hg 0.2500 0.2500 0.2500 [4 per cell]


Entry 14:
Compound: NdSm2TmHg4
Source: Alexandria
Functional: PBE-GGA
Structure: optimized geometry

## Properties
Total DFT energy (no corrections) = -2.95 eV per atom
ΔH_f (0 K) = -0.47 eV/atom
Magnetization = 0.166 μB per atom
Calculated volume = 647 Å³/cell

Cell: 5.3269 5.3269 26.3423 Å, 90.00 90.00 120.00°
Space group R-3m (No. 166, hexagonal axes)
Symmetry-distinct sites (fractional):
Nd 0.0000 0.0000 0.0000 [3 per cell]
Sm 0.0000 0.0000 0.2493 [6 per cell]
Tm 0.0000 0.0000 0.5000 [3 per cell]
Hg 0.0000 0.0000 0.1273 [6 per cell]
Hg 0.0000 0.0000 0.3781 [6 per cell]


Entry 15:
Compound: NdSmTm2Hg4
Source: Alexandria
Functional: PBE-GGA
Structure: optimized geometry

## Properties
Total DFT energy (no corrections) = -2.92 eV per atom
ΔH_f (0 K) = -0.46 eV/atom
Magnetization = 0.087 μB per atom
Calculated volume = 634 Å³/cell

Cell: 5.3033 5.3033 26.0119 Å, 90.00 90.00 120.00°
Space group R-3m (No. 166, hexagonal axes)
Symmetry-distinct sites (fractional):
Nd 0.0000 0.0000 0.0000 [3 per cell]
Sm 0.0000 0.0000 0.5000 [3 per cell]
Tm 0.0000 0.0000 0.2497 [6 per cell]
Hg 0.0000 0.0000 0.1259 [6 per cell]
Hg 0.0000 0.0000 0.3758 [6 per cell]


Entry 16:
Compound: NdSmTmHg
Source: Alexandria
Functional: PBE-GGA
Structure: optimized geometry

## Properties
ΔE to the lowest computed polymorph = 0.000 eV per atom
Total DFT energy (no corrections) = -3.80 eV per atom
ΔH_f (0 K) = -0.23 eV/atom
Magnetization = 0.000 μB per atom
Calculated volume = 119 Å³/cell

Cell: 3.6650 3.6650 8.8962 Å, 90.00 90.00 90.00°
Space group P4mm (No. 99)
Symmetry-distinct sites (fractional):
Nd 0.0000 0.0000 0.0000 [1 per cell]
Sm 0.5000 0.5000 0.7124 [1 per cell]
Tm 0.5000 0.5000 0.2787 [1 per cell]
Hg 0.0000 0.0000 0.4789 [1 per cell]


Entry 17:
Compound: NdSmYHg
Source: Alexandria
Functional: PBE-GGA
Structure: optimized geometry

## Properties
Total DFT energy (no corrections) = -4.30 eV per atom
ΔH_f (0 K) = -0.24 eV/atom
Magnetization = 0.000 μB per atom
Calculated volume = 122 Å³/cell

Cell: 3.6909 3.6909 8.9257 Å, 90.00 90.00 90.00°
Space group P4mm (No. 99)
Symmetry-distinct sites (fractional):
Nd 0.0000 0.0000 0.0000 [1 per cell]
Sm 0.5000 0.5000 0.7167 [1 per cell]
Y 0.5000 0.5000 0.2820 [1 per cell]
Hg 0.0000 0.0000 0.4904 [1 per cell]


Entry 18:
Compound: NdSm2Zn2Hg2
Source: Alexandria
Functional: PBE-GGA
Structure: optimized geometry

## Properties
Total DFT energy (no corrections) = -2.78 eV per atom
ΔH_f (0 K) = -0.30 eV/atom
Magnetization = 0.000 μB per atom
Calculated volume = 537 Å³/cell

Cell: 4.7713 4.7713 27.2274 Å, 90.00 90.00 120.00°
Space group R-3m (No. 166, hexagonal axes)
Symmetry-distinct sites (fractional):
Nd 0.0000 0.0000 0.0000 [3 per cell]
Sm 0.0000 0.0000 0.1260 [6 per cell]
Zn 0.0000 0.0000 0.2566 [6 per cell]
Hg 0.0000 0.0000 0.4005 [6 per cell]


Entry 19:
Compound: NdSnHg4
Source: Alexandria
Functional: PBE-GGA
Structure: optimized geometry

## Properties
ΔE to the lowest computed polymorph = 0.213 eV per atom
Total DFT energy (no corrections) = -1.73 eV per atom
ΔH_f (0 K) = -0.07 eV/atom
Magnetization = 0.000 μB per atom
Calculated volume = 181 Å³/cell

Cell: 4.6301 4.6301 8.4273 Å, 90.00 90.00 90.00°
Space group P4/mmm (No. 123)
Symmetry-distinct sites (fractional):
Nd 0.0000 0.0000 0.0000 [1 per cell]
Sn 0.5000 0.5000 0.5000 [1 per cell]
Hg 0.0000 0.5000 0.2635 [4 per cell]


Entry 20:
Compound: NdSnHg
Source: Alexandria
Functional: PBE-GGA
Structure: optimized geometry

## Properties
Total DFT energy (no corrections) = -3.56 eV per atom
ΔH_f (0 K) = -0.53 eV/atom
Magnetization = 0.000 μB per atom
Calculated volume = 83 Å³/cell

Cell: 4.7883 4.7883 4.1874 Å, 90.00 90.00 120.00°
Space group P3m1 (No. 156)
Symmetry-distinct sites (fractional):
Nd 0.0000 0.0000 0.0000 [1 per cell]
Sn 0.6667 0.3333 0.5722 [1 per cell]
Hg 0.3333 0.6667 0.3683 [1 per cell]


Entry 21:
Compound: Nd5Sn2Hg2
Source: Alexandria
Functional: PBE-GGA
Structure: optimized geometry

## Properties
Total DFT energy (no corrections) = -4.14 eV per atom
ΔH_f (0 K) = -0.53 eV/atom
Magnetization = 0.000 μB per atom
Calculated volume = 1121 Å³/cell

Cell: 16.3690 8.2917 8.2565 Å, 90.00 90.00 90.00°
Space group Cmce (No. 64)
Symmetry-distinct sites (fractional):
Nd 0.0000 0.0000 0.0000 [4 per cell]
Nd 0.1413 0.1716 0.3322 [16 per cell]
Sn 0.2039 0.0000 0.0000 [8 per cell]
Hg 0.0000 0.1287 0.6305 [8 per cell]


Entry 22:
Compound: Nd2Sn4Hg
Source: Alexandria
Functional: PBE-GGA
Structure: optimized geometry

## Properties
ΔE to the lowest computed polymorph = 0.026 eV per atom
Total DFT energy (no corrections) = -4.14 eV per atom
ΔH_f (0 K) = -0.44 eV/atom
Magnetization = 0.000 μB per atom
Calculated volume = 201 Å³/cell

Cell: 4.5701 4.5701 9.6012 Å, 90.00 90.00 90.00°
Space group P-4m2 (No. 115)
Symmetry-distinct sites (fractional):
Nd 0.0000 0.5000 0.2339 [2 per cell]
Sn 0.0000 0.0000 0.5000 [1 per cell]
Sn 0.0000 0.5000 0.8016 [2 per cell]
Sn 0.5000 0.5000 0.5000 [1 per cell]
Hg 0.5000 0.5000 0.0000 [1 per cell]


Entry 23:
Compound: Nd2SnHg
Source: Alexandria
Functional: PBE-GGA
Structure: optimized geometry

## Properties
ΔE to the lowest computed polymorph = 0.000 eV per atom
Total DFT energy (no corrections) = -4.06 eV per atom
ΔH_f (0 K) = -0.60 eV/atom
Magnetization = 0.000 μB per atom
Calculated volume = 458 Å³/cell

Cell: 7.7083 7.7083 7.7083 Å, 90.00 90.00 90.00°
Space group Fm-3m (No. 225)
Symmetry-distinct sites (fractional):
Nd 0.2500 0.2500 0.2500 [8 per cell]
Sn 0.0000 0.0000 0.0000 [4 per cell]
Hg 0.0000 0.0000 0.5000 [4 per cell]


Entry 24:
Compound: Nd7Sn2Hg2
Source: Alexandria
Functional: PBE-GGA
Structure: optimized geometry

## Properties
Total DFT energy (no corrections) = -4.01 eV per atom
ΔH_f (0 K) = -0.20 eV/atom
Magnetization = 0.000 μB per atom
Calculated volume = 735 Å³/cell

Cell: 8.2801 11.5406 7.6896 Å, 90.00 90.00 90.00°
Space group Cmmm (No. 65)
Symmetry-distinct sites (fractional):
Nd 0.0000 0.0000 0.0000 [2 per cell]
Nd 0.0000 0.5000 0.2533 [4 per cell]
Nd 0.2500 0.2500 0.2898 [8 per cell]
Sn 0.1761 0.0000 0.5000 [4 per cell]
Hg 0.0000 0.2823 0.0000 [4 per cell]